Tl2TcAu (PBE, optimized geometry); DOS(E_F) = 1.63 states/eV/f.u.; symmetry = Cmmm; E above lowest polymorph = 69 meV/atom; E_form = 52.2 kJ/mol of atoms; crystal system = orthorhombic; mass density = 14.304 Mg/m³
1.0
5.1372 -0.0302 0.0000
-1.3096 4.9675 0.0000
0.0000 0.0000 3.2065
Tl Au Tc
2 1 1
Cartesian
1.9138 2.4687 0.0000
0.0000 0.0000 0.0000
2.5686 -0.0151 1.6032
-0.6548 2.4838 1.6032

Tb3ErFe (PBE, optimized geometry); DOS(E_F) = 8.20 states/eV/f.u.; symmetry = Pm-3m; E_form = 13.7 kJ/mol of atoms; crystal system = cubic; mass density = 7.919 Mg/m³
1.0
-2.8928 -1.4262 4.1739
4.4101 -0.8432 2.7684
-0.0814 5.0079 1.6548
Er Tb Fe
1 3 1
Cartesian
0.7179 1.3692 4.2986
-0.0407 2.5039 0.8274
-1.4464 -0.7131 2.0869
2.2050 -0.4216 1.3842
0.0000 0.0000 0.0000

Tm2SbS6 (PBE, optimized geometry); DOS(E_F) = 8.08 states/eV/f.u.; symmetry = P2_1/c; raw formation energy = -97 kJ per mole of atoms; crystal system = monoclinic; mass density = 5.376 Mg/m³
1.0
6.4854 0.0000 -0.1525
0.0000 6.7902 0.0000
-1.0161 0.0000 9.1709
Tm S Sb
4 12 2
Cartesian
2.8416 6.0590 6.5843
2.6277 0.7313 2.4342
5.3623 2.6639 6.9434
0.1070 4.1264 2.0751
1.9918 5.5330 0.6248
5.1391 6.4428 2.1240
0.7428 2.1379 3.8844
4.0809 3.0476 2.2328
4.3228 4.6712 8.5095
1.1464 2.1190 0.5089
0.3302 0.3475 6.8945
1.5882 5.5141 4.0003
3.8811 1.2761 5.0181
3.4774 1.2572 8.3937
4.7265 4.6524 5.1340
1.3884 3.7426 6.7857
3.2427 3.3951 -0.0762
-0.5080 0.0000 4.5855